TaCo2I, optimized geometry, DFT PBE; calculated total energy = -48.40 eV per cell; excess energy over the best structure of this formula in the dataset = 10.5 meV per atom; uncorrected formation energy = 854 meV/atom
1.0
5.714 0.000 0.000
0.000 5.714 0.000
2.857 2.857 5.243
I Ta Co
2 2 4
Direct
0.250 0.750 0.500
0.500 0.500 0.000
0.750 0.250 0.500
0.000 0.000 0.000
0.638 0.125 0.250
0.112 0.625 0.250
0.375 0.362 0.750
0.875 0.888 0.750



ScVPd, optimized geometry, DFT PBE; calculated total energy = -42.41 eV per cell; energy of formation = -0.19 eV per atom
1.0
-0.307 -1.029 -2.863
1.535 -2.537 0.748
-10.447 -3.315 3.944
Sc Pd V
2 2 2
Direct
0.570 0.570 0.140
0.430 0.430 0.860
0.853 0.853 0.705
0.147 0.147 0.295
0.277 0.277 0.555
0.723 0.723 0.445



Fe2SbI, optimized geometry, DFT PBE; calculated total energy = -39.01 eV per cell; uncorrected formation energy = 773 meV/atom
1.0
-4.896 -1.500 2.514
-1.584 -2.763 -4.733
-0.788 -6.871 0.837
Sb Fe I
2 4 2
Direct
0.250 0.750 0.500
0.500 0.500 0.000
0.628 0.125 0.250
0.375 0.372 0.750
0.122 0.625 0.250
0.875 0.878 0.750
0.000 0.000 0.000
0.750 0.250 0.500



CrInAs, optimized geometry, DFT PBE; calculated total energy = -67.55 eV per cell; excess energy over the best structure of this formula in the dataset = 24.7 meV per atom; energy of formation = 0.04 eV per atom
1.0
10.104 0.000 0.140
0.000 4.404 0.000
-0.686 0.000 5.523
Cr As In
4 4 4
Direct
0.066 0.500 0.651
0.934 0.000 0.849
0.066 0.000 0.151
0.934 0.500 0.349
0.838 0.500 0.752
0.162 0.500 0.248
0.838 0.000 0.252
0.162 0.000 0.748
0.382 0.000 0.215
0.618 0.500 0.285
0.382 0.500 0.715
0.618 0.000 0.785



LaReP2, optimized geometry, DFT PBE; calculated total energy = -27.07 eV per cell; excess energy over the best structure of this formula in the dataset = 1076.9 meV per atom; energy of formation = 0.28 eV per atom
1.0
5.687 0.047 0.000
2.915 4.883 0.000
-4.301 -2.465 2.787
Re P La
1 2 1
Direct
0.500 0.500 0.000
0.000 0.000 0.000
0.250 0.750 0.500
0.750 0.250 0.500



Mn2SbPd9, optimized geometry, DFT PBE; calculated total energy = -72.59 eV per cell; uncorrected formation energy = -282 meV/atom
1.0
3.978 0.000 0.000
0.000 3.978 0.000
0.000 0.000 11.844
Pd Mn Sb
9 2 1
Direct
0.500 0.000 0.172
0.500 0.000 0.500
0.500 0.500 0.336
0.500 0.500 0.000
0.000 0.500 0.500
0.500 0.500 0.664
0.500 0.000 0.828
0.000 0.500 0.172
0.000 0.500 0.828
0.000 0.000 0.661
0.000 0.000 0.339
0.000 0.000 0.000



Spin magnetization, respectively: 0.0; 0.0; 0.0; 0.0; 1.3; 9.2 μB per formula unit.